BiB6N6 | Alexandria via LeMat-Bulk | PBE-GGA | relaxed; energy relative to the elements, uncorrected = 113 meV/atom
1.0
4.732 0.000 0.000
0.000 4.732 0.000
0.000 0.000 4.732
B Bi N
6 1 6
direct
0.500 0.254 0.000
0.500 0.746 0.000
0.000 0.500 0.254
0.254 0.000 0.500
0.746 0.000 0.500
0.000 0.500 0.746
0.500 0.500 0.500
0.757 0.500 0.000
0.000 0.243 0.500
0.000 0.757 0.500
0.243 0.500 0.000
0.500 0.000 0.243
0.500 0.000 0.757

---

BiBN3 | Alexandria via LeMat-Bulk | PBE-GGA | relaxed; energy relative to the elements, uncorrected = 2991 meV/atom
1.0
-1.296 4.034 1.006
-3.769 -1.584 1.498
1.753 -0.425 3.963
B N Bi
1 3 1
direct
0.500 0.500 0.500
0.000 0.000 0.500
0.000 0.500 0.000
0.500 0.000 0.000
0.000 0.000 0.000

---

BiBN3 | Alexandria via LeMat-Bulk | PBE-GGA | relaxed; energy relative to the elements, uncorrected = 1477 meV/atom
1.0
3.599 0.000 0.000
0.000 3.599 0.000
0.000 0.000 3.599
N B Bi
3 1 1
direct
0.500 0.000 0.000
0.000 0.000 0.500
0.000 0.500 0.000
0.000 0.000 0.000
0.500 0.500 0.500

---

BiBN | Alexandria via LeMat-Bulk | PBE-GGA | relaxed; energy relative to the elements, uncorrected = 152 meV/atom
1.0
4.528 -0.242 -1.286
-0.283 5.444 -0.605
-6.347 -5.441 7.751
N B Bi
2 2 2
direct
0.665 0.493 0.901
0.335 0.507 0.099
0.997 0.499 0.082
0.003 0.501 0.918
0.945 0.470 0.268
0.055 0.530 0.732

---

BiB3N3 | Alexandria via LeMat-Bulk | PBE-GGA | relaxed; energy relative to the elements, uncorrected = 709 meV/atom
1.0
4.944 0.000 0.000
0.000 4.944 0.000
0.000 0.000 4.944
B N Bi
6 6 2
direct
0.750 0.000 0.500
0.000 0.500 0.250
0.250 0.000 0.500
0.500 0.250 0.000
0.000 0.500 0.750
0.500 0.750 0.000
0.250 0.500 0.000
0.750 0.500 0.000
0.500 0.000 0.750
0.000 0.750 0.500
0.000 0.250 0.500
0.500 0.000 0.250
0.000 0.000 0.000
0.500 0.500 0.500

---

BiB2N | Alexandria via LeMat-Bulk | PBE-GGA | relaxed; excess energy over the best structure of this formula in the dataset = 1820.6 meV/atom; energy relative to the elements, uncorrected = 2542 meV/atom
1.0
3.024 -0.247 2.928
1.410 3.504 1.876
-0.919 0.740 4.048
Bi N B
1 1 2
direct
0.500 0.500 0.500
0.000 0.000 0.000
0.250 0.250 0.250
0.750 0.750 0.750

---

BiBN2 | Alexandria via LeMat-Bulk | PBE-GGA | relaxed; excess energy over the best structure of this formula in the dataset = 2208.9 meV/atom; energy relative to the elements, uncorrected = 2192 meV/atom
1.0
-1.879 -3.264 -1.496
-3.772 -0.888 1.187
-3.094 0.447 -2.579
N B Bi
2 1 1
direct
0.250 0.250 0.250
0.750 0.750 0.750
0.000 0.000 0.000
0.500 0.500 0.500

---

BiBN2O | Alexandria via LeMat-Bulk | PBE-GGA | relaxed; energy relative to the elements, uncorrected = 533 meV/atom
1.0
3.281 0.000 0.000
0.000 3.281 0.000
0.000 0.000 4.875
B N O Bi
1 2 1 1
direct
0.000 0.000 0.000
0.500 0.000 0.000
0.000 0.500 0.000
0.000 0.000 0.500
0.500 0.500 0.500

---

> Number 5 is which compound?

BiB3N3

---

> What is the energy relative to the elements, uncorrected in the fifth record?

709 meV/atom

---

Please write out number 7 again, unchanged.
BiBN2 | Alexandria via LeMat-Bulk | PBE-GGA | relaxed; excess energy over the best structure of this formula in the dataset = 2208.9 meV/atom; energy relative to the elements, uncorrected = 2192 meV/atom
1.0
-1.879 -3.264 -1.496
-3.772 -0.888 1.187
-3.094 0.447 -2.579
N B Bi
2 1 1
direct
0.250 0.250 0.250
0.750 0.750 0.750
0.000 0.000 0.000
0.500 0.500 0.500